# 1
Below is an optimized crystal structure of Hf2AgHg2, with properties calculated at the PBE level.

Summary:
Total moment ... 0.0 μB per cell
N(E_F) ... 3.68 states/eV/f.u.
Total DFT energy (no corrections) ... -4.398 eV per atom
Calculated formation energy ... 275 meV/atom

abc: 8.6393 8.6393 3.0096
angles: 90.00 90.00 90.00
Last column: nearest neighbours and their distance in Å.
Atoms (fractional coordinates):
Hf 0.3748 0.8748 0.0000  6 Hg 2.90-3.00, 3 Hf 3.01-3.06
Hf 0.8748 0.6252 0.0000  6 Hg 2.90-3.00, 3 Hf 3.01-3.06
Hf 0.6252 0.1252 0.0000  6 Hg 2.90-3.00, 3 Hf 3.01-3.06
Hf 0.1252 0.3748 0.0000  6 Hg 2.90-3.00, 3 Hf 3.01-3.06
Hg 0.1719 0.6719 0.5000  6 Hf 2.90-3.00, 2 Hg 3.01
Hg 0.6719 0.8281 0.5000  6 Hf 2.90-3.00, 2 Hg 3.01
Hg 0.8281 0.3281 0.5000  6 Hf 2.90-3.00, 2 Hg 3.01
Hg 0.3281 0.1719 0.5000  6 Hf 2.90-3.00, 2 Hg 3.01
Ag 0.0000 0.0000 0.0000  2 Ag 3.01
Ag 0.5000 0.5000 0.0000  2 Ag 3.01

# 2
Below is an optimized crystal structure of HfAg2Hg2, with properties calculated at the PBE level.

Summary:
Total moment ... 0.0 μB per cell
N(E_F) ... 2.73 states/eV/f.u.
Total DFT energy (no corrections) ... -3.042 eV per atom
Calculated formation energy ... 209 meV/atom

abc: 8.1518 8.1518 3.0647
angles: 90.00 90.00 90.00
Last column: nearest neighbours and their distance in Å.
Atoms (fractional coordinates):
Hf 0.0000 0.0000 0.0000  2 Hf 3.06, 4 Ag 3.23, 8 Hg 3.37
Hf 0.5000 0.5000 0.0000  2 Hf 3.06, 4 Ag 3.23, 8 Hg 3.37
Hg 0.1766 0.6766 0.5000  6 Ag 2.78-2.91, 2 Hg 3.06
Hg 0.6766 0.8234 0.5000  6 Ag 2.78-2.91, 2 Hg 3.06
Hg 0.8234 0.3234 0.5000  6 Ag 2.78-2.91, 2 Hg 3.06
Hg 0.3234 0.1766 0.5000  6 Ag 2.78-2.91, 2 Hg 3.06
Ag 0.3773 0.8773 0.0000  6 Hg 2.78-2.91, 3 Ag 2.83-3.06
Ag 0.8773 0.6227 0.0000  6 Hg 2.78-2.91, 3 Ag 2.83-3.06
Ag 0.6227 0.1227 0.0000  6 Hg 2.78-2.91, 3 Ag 2.83-3.06
Ag 0.1227 0.3773 0.0000  6 Hg 2.78-2.91, 3 Ag 2.83-3.06

# 3
Below is an optimized crystal structure of Hf2AgHg2, with properties calculated at the PBE level.

Summary:
Total moment ... 0.0 μB per cell
N(E_F) ... 2.38 states/eV/f.u.
Total DFT energy (no corrections) ... -4.730 eV per atom
Calculated formation energy ... -58 meV/atom

abc: 3.1677 3.1677 10.6845
angles: 98.52 98.52 90.00
Last column: nearest neighbours and their distance in Å.
Atoms (fractional coordinates):
Hf 0.8008 0.8008 0.6016  8 Hf 3.09-3.17, 4 Hg 3.11
Hf 0.1992 0.1992 0.3984  8 Hf 3.09-3.17, 4 Hg 3.11
Ag 0.0000 0.0000 0.0000  8 Hg 3.00, 4 Ag 3.17
Hg 0.5958 0.5958 0.1916  4 Ag 3.00, 4 Hf 3.11, 4 Hg 3.17
Hg 0.4042 0.4042 0.8084  4 Ag 3.00, 4 Hf 3.11, 4 Hg 3.17

# 4
Below is an optimized crystal structure of LuHfAgHg, with properties calculated at the PBE level.

Summary:
Total moment ... 0.7 μB per cell
N(E_F) ... 3.52 states/eV/f.u.
Total DFT energy (no corrections) ... -4.533 eV per atom
Calculated formation energy ... -126 meV/atom

abc: 4.9841 4.9841 4.9841
angles: 60.00 60.00 60.00
Last column: nearest neighbours and their distance in Å.
Atoms (fractional coordinates):
Lu 0.0000 0.0000 0.0000  4 Hg 3.05, 4 Ag 3.05
Hf 0.5000 0.5000 0.5000  4 Ag 3.05, 4 Hg 3.05
Hg 0.7500 0.7500 0.7500  4 Lu 3.05, 4 Hf 3.05
Ag 0.2500 0.2500 0.2500  4 Hf 3.05, 4 Lu 3.05

# 5
Below is an optimized crystal structure of HfMgAgHg, with properties calculated at the PBE level.

Summary:
Total moment ... 0.0 μB per cell
N(E_F) ... 2.51 states/eV/f.u.
Total DFT energy (no corrections) ... -3.775 eV per atom
Calculated formation energy ... -100 meV/atom

abc: 4.8242 4.8242 4.8242
angles: 60.00 60.00 60.00
Last column: nearest neighbours and their distance in Å.
Atoms (fractional coordinates):
Mg 0.5000 0.5000 0.5000  4 Ag 2.95, 4 Hg 2.95
Hf 0.0000 0.0000 0.0000  4 Hg 2.95, 4 Ag 2.95
Hg 0.7500 0.7500 0.7500  4 Mg 2.95, 4 Hf 2.95
Ag 0.2500 0.2500 0.2500  4 Hf 2.95, 4 Mg 2.95

# 6
Below is an optimized crystal structure of HfAgHgO2, with properties calculated at the PBE level.

Summary:
Total moment ... 0.0 μB per cell
Formation energy (no corrections) ... 812.5 meV/atom
N(E_F) ... 3.96 states/eV/f.u.
Total DFT energy (no corrections) ... -3.792 eV per atom

abc: 4.1713 5.6725 4.1713
angles: 90.00 90.00 90.00
Last column: nearest neighbours and their distance in Å.
Atoms (fractional coordinates):
O 0.0000 0.0000 0.5000  2 Hg 2.09
O 0.5000 0.0000 0.0000  2 Hg 2.09
Hf 0.0000 0.5000 0.0000  2 Hg 2.84, 4 Ag 2.95
Hg 0.0000 0.0000 0.0000  4 O 2.09
Ag 0.5000 0.5000 0.5000  4 Hf 2.95

# 7
Below is an optimized crystal structure of HfAg2SnHg, with properties calculated at the PBE level.

Summary:
Total moment ... 0.0 μB per cell
N(E_F) ... 5.65 states/eV/f.u.
Total DFT energy (no corrections) ... -3.014 eV per atom
Calculated formation energy ... 978 meV/atom

abc: 5.0169 5.4053 5.0169
angles: 90.00 90.00 90.00
Last column: nearest neighbours and their distance in Å.
Atoms (fractional coordinates):
Hf 0.5000 0.5000 0.5000  4 Hg 3.55, 8 Ag 3.69
Hg 0.0000 0.5000 0.0000  2 Sn 2.70
Ag 0.0000 0.0000 0.5000  2 Sn 2.51
Ag 0.5000 0.0000 0.0000  2 Sn 2.51
Sn 0.0000 0.0000 0.0000  4 Ag 2.51, 2 Hg 2.70

# 8
Below is an optimized crystal structure of HfTc2AgHg, with properties calculated at the PBE level.

Summary:
Total moment ... 3.0 μB per cell
N(E_F) ... 13.02 states/eV/f.u.
Total DFT energy (no corrections) ... -4.717 eV per atom
Calculated formation energy ... 2051 meV/atom

abc: 4.9729 5.1108 4.9729
angles: 90.00 90.00 90.00
Last column: nearest neighbours and their distance in Å.
Atoms (fractional coordinates):
Hf 0.0000 0.5000 0.0000  2 Hg 2.56
Hg 0.0000 0.0000 0.0000  4 Tc 2.49, 2 Hf 2.56
Ag 0.5000 0.5000 0.5000  4 Hf 3.52, 8 Tc 3.57
Tc 0.0000 0.0000 0.5000  2 Hg 2.49
Tc 0.5000 0.0000 0.0000  2 Hg 2.49

# 9
Below is an optimized crystal structure of HfTc2AgHg, with properties calculated at the PBE level.

Summary:
Total moment ... 3.1 μB per cell
N(E_F) ... 3.32 states/eV/f.u.
Total DFT energy (no corrections) ... -5.280 eV per atom
Calculated formation energy ... 1488 meV/atom

abc: 4.8142 5.1886 4.8142
angles: 90.00 90.00 90.00
Last column: nearest neighbours and their distance in Å.
Atoms (fractional coordinates):
Hf 0.0000 0.0000 0.0000  4 Tc 2.41, 2 Ag 2.59
Hg 0.5000 0.5000 0.5000  4 Ag 3.40, 8 Tc 3.54
Ag 0.0000 0.5000 0.0000  2 Hf 2.59
Tc 0.0000 0.0000 0.5000  2 Hf 2.41
Tc 0.5000 0.0000 0.0000  2 Hf 2.41

# 10
Below is an optimized crystal structure of HfTiAgHg, with properties calculated at the PBE level.

Summary:
Total moment ... 0.0 μB per cell
N(E_F) ... 3.93 states/eV/f.u.
Total DFT energy (no corrections) ... -5.093 eV per atom
Calculated formation energy ... 157 meV/atom

abc: 2.9799 2.9799 9.6285
angles: 98.90 98.90 90.00
Last column: nearest neighbours and their distance in Å.
Atoms (fractional coordinates):
Hf 0.5695 0.5695 0.1389  4 Ti 2.91, 4 Hf 2.98, 4 Hg 3.18
Ti 0.1764 0.1764 0.3528  1 Ag 2.76, 4 Hf 2.91, 4 Ti 2.98
Ag 0.3235 0.3235 0.6470  1 Ti 2.76, 4 Ag 2.98, 4 Hg 3.07
Hg 0.9427 0.9427 0.8854  4 Hg 2.98, 4 Ag 3.07, 4 Hf 3.18

# 11
Below is an optimized crystal structure of HfTiAgHg, with properties calculated at the PBE level.

Summary:
Total moment ... 1.6 μB per cell
N(E_F) ... 2.79 states/eV/f.u.
Total DFT energy (no corrections) ... -5.184 eV per atom
Calculated formation energy ... 66 meV/atom

abc: 4.8006 4.8006 4.8006
angles: 60.00 60.00 60.00
Last column: nearest neighbours and their distance in Å.
Atoms (fractional coordinates):
Hf 0.7500 0.7500 0.7500  4 Hg 2.94, 4 Ag 2.94
Hg 0.0000 0.0000 0.0000  4 Ti 2.94, 4 Hf 2.94
Ag 0.5000 0.5000 0.5000  4 Hf 2.94, 4 Ti 2.94
Ti 0.2500 0.2500 0.2500  4 Ag 2.94, 4 Hg 2.94

# 12
Below is an optimized crystal structure of Y2HfAgHg, with properties calculated at the PBE level.

Summary:
Total moment ... 2.0 μB per cell
N(E_F) ... 6.94 states/eV/f.u.
Total DFT energy (no corrections) ... -4.563 eV per atom
Calculated formation energy ... 644 meV/atom

abc: 5.4458 5.0988 5.4458
angles: 90.00 90.00 90.00
Last column: nearest neighbours and their distance in Å.
Atoms (fractional coordinates):
Y 0.0000 0.0000 0.5000  2 Ag 2.72
Y 0.5000 0.0000 0.0000  2 Ag 2.72
Hf 0.5000 0.5000 0.5000  8 Y 3.73, 4 Hg 3.85
Hg 0.0000 0.5000 0.0000  2 Ag 2.55
Ag 0.0000 0.0000 0.0000  2 Hg 2.55, 4 Y 2.72

# 13
Below is an optimized crystal structure of Ho2HfAg, with properties calculated at the PBE level.

Summary:
Total moment ... 0.0 μB per cell
N(E_F) ... 4.32 states/eV/f.u.
Total DFT energy (no corrections) ... -5.165 eV per atom
Calculated formation energy ... 325 meV/atom

abc: 3.2034 3.2034 11.5821
angles: 82.05 82.05 60.00
Last column: nearest neighbours and their distance in Å.
Atoms (fractional coordinates):
Hf 0.0000 0.0000 0.0000  2 Ho 3.17, 6 Hf 3.20
Ho 0.0924 0.0924 0.7228  3 Ag 3.15, 1 Hf 3.17, 6 Ho 3.20
Ho 0.9076 0.9076 0.2772  3 Ag 3.15, 1 Hf 3.17, 6 Ho 3.20
Ag 0.5000 0.5000 0.5000  6 Ho 3.15, 6 Ag 3.20

# 14
Below is an optimized crystal structure of Ho2HfAg, with properties calculated at the PBE level.

Summary:
Total moment ... 0.0 μB per cell
N(E_F) ... 3.60 states/eV/f.u.
Total DFT energy (no corrections) ... -5.588 eV per atom
Calculated formation energy ... -98 meV/atom

abc: 3.4012 3.4012 8.5945
angles: 90.00 90.00 90.00
Last column: nearest neighbours and their distance in Å.
Atoms (fractional coordinates):
Hf 0.5000 0.5000 0.5000  8 Ho 3.30, 4 Hf 3.40
Ho 0.0000 0.0000 0.7628  4 Ag 3.15, 4 Hf 3.30, 4 Ho 3.40
Ho 0.0000 0.0000 0.2372  4 Ag 3.15, 4 Hf 3.30, 4 Ho 3.40
Ag 0.5000 0.5000 0.0000  8 Ho 3.15, 4 Ag 3.40